1.
Here is FeNi after structural relaxation from Alexandria. Energies are from PBEsol.

Cell: 2.4630 4.3084 4.7510 Å, 116.91 105.02 90.00°
Closest atoms and distances in Å follow each position.
Element x y z (fractional)
Fe: 0.3763 0.2102 0.7527  5 Fe 2.46-2.50, 7 Ni 2.47-2.49
Fe: 0.6237 0.7898 0.2473  5 Fe 2.46-2.50, 7 Ni 2.47-2.49
Ni: 0.8745 0.7068 0.7490  5 Ni 2.46-2.50, 7 Fe 2.47-2.49
Ni: 0.1255 0.2932 0.2510  5 Ni 2.46-2.50, 7 Fe 2.47-2.49

ΔH_f (0 K) ... 0.014 eV per atom
Space-group type ... C2/m (12)
Raw total energy ... -7.5466 eV per atom
DOS at the Fermi energy ... 2.0 states/eV/f.u.


2.
Here is MgS after structural relaxation from Alexandria. Energies are from PBEsol.

Cell: 4.0065 4.0065 19.4853 Å, 90.00 90.00 120.00°
Closest atoms and distances in Å follow each position.
Element x y z (fractional)
Mg: 0.6667 0.3333 0.6660  4 S 2.44-2.45
Mg: 0.0000 0.0000 0.5000  4 S 2.44-2.45
Mg: 0.3333 0.6667 0.8330  4 S 2.45
Mg: 0.3333 0.6667 0.1660  4 S 2.44-2.45
Mg: 0.0000 0.0000 0.0000  4 S 2.44-2.45
Mg: 0.6667 0.3333 0.3330  4 S 2.45
S: 0.6667 0.3333 0.7918  4 Mg 2.45
S: 0.0000 0.0000 0.1254  4 Mg 2.44
S: 0.0000 0.0000 0.6254  4 Mg 2.44
S: 0.3333 0.6667 0.2918  4 Mg 2.45
S: 0.6667 0.3333 0.4588  4 Mg 2.45
S: 0.3333 0.6667 0.9588  4 Mg 2.45

Space-group type ... P6_3mc (186)
E_form (uncorrected) ... -32.3 kcal/mol of atoms
Raw total energy ... -4.4522 eV per atom
DOS at the Fermi energy ... 0.0 states/eV/f.u.


3.
Here is CaMnB3 after structural relaxation from Alexandria. Energies are from PBEsol.

Cell: 3.8579 3.8579 3.8579 Å, 90.00 90.00 90.00°
Closest atoms and distances in Å follow each position.
Element x y z (fractional)
B: 0.0000 0.5000 0.0000  2 Mn 1.93
B: 0.5000 0.0000 0.0000  2 Mn 1.93
B: 0.0000 0.0000 0.5000  2 Mn 1.93
Ca: 0.5000 0.5000 0.5000  12 B 2.73
Mn: 0.0000 0.0000 0.0000  6 B 1.93

ΔH_f (0 K) ... 0.101 eV per atom
Space-group type ... Pm-3m (221)
Raw total energy ... -6.4875 eV per atom
DOS at the Fermi energy ... 1.0 states/eV/f.u.


4.
Here is Ca2ZrTe after structural relaxation from Alexandria. Energies are from PBEsol.

Cell: 4.0302 5.0026 5.1086 Å, 90.00 90.00 90.00°
Closest atoms and distances in Å follow each position.
Element x y z (fractional)
Zr: 0.0000 0.5000 0.5000  8 Ca 3.21-3.58, 4 Te 3.25
Te: 0.5000 0.5000 0.0000  8 Ca 3.21-3.58, 4 Zr 3.25
Ca: 0.5000 0.0000 0.5000  4 Zr 3.21, 4 Ca 3.25, 4 Te 3.58
Ca: 0.0000 0.0000 0.0000  4 Te 3.21, 4 Ca 3.25, 4 Zr 3.58

Space-group type ... Pmmm (47)
E_form (uncorrected) ... -3.9 kcal/mol of atoms
Raw total energy ... -4.3878 eV per atom
DOS at the Fermi energy ... 4.0 states/eV/f.u.